CsTl2Ge2 GGA-PBE optimized geometry; relative energy among the computed polymorphs = 0.0810 eV per atom
1.0
-2.549 2.549 6.068
2.549 -2.549 6.068
2.549 2.549 -6.068
Cs Tl Ge
1 2 2
Direct
0.000 0.000 0.000 Cs
0.370 0.370 0.000 Tl
0.630 0.630 0.000 Tl
0.250 0.750 0.500 Ge
0.750 0.250 0.500 Ge


CsTl2Ge2 GGA-PBE optimized geometry; relative energy among the computed polymorphs = 0.0000 eV per atom
1.0
-2.682 2.682 5.427
2.682 -2.682 5.427
2.682 2.682 -5.427
Cs Tl Ge
1 2 2
Direct
0.000 0.000 0.000 Cs
0.250 0.750 0.500 Tl
0.750 0.250 0.500 Tl
0.383 0.383 0.000 Ge
0.617 0.617 0.000 Ge


VASP calculation (GGA-PBE) on an optimized crystal structure of CsTlGe.

Structure (POSCAR):
```
CsTlGe
1.0
4.815 0.000 0.000
2.398 6.214 0.000
2.392 1.062 7.532
Cs Tl Ge
2 2 2
Direct
0.070 0.203 0.155 Cs
0.930 0.797 0.845 Cs
0.287 0.611 0.319 Tl
0.713 0.389 0.681 Tl
0.383 0.186 0.544 Ge
0.617 0.814 0.456 Ge
```


CsTl2Ge2 GGA-PBE optimized geometry; relative energy among the computed polymorphs = 0.1719 eV per atom
1.0
9.584 0.000 0.000
0.000 9.584 0.000
0.000 0.000 3.493
Cs Tl Ge
2 4 4
Direct
0.000 0.000 0.000 Cs
0.500 0.500 0.000 Cs
0.151 0.349 0.000 Tl
0.349 0.849 0.000 Tl
0.651 0.151 0.000 Tl
0.849 0.651 0.000 Tl
0.112 0.612 0.500 Ge
0.388 0.112 0.500 Ge
0.612 0.888 0.500 Ge
0.888 0.388 0.500 Ge


| no. | formation energy from the elements (eV per atom) |
| --- | --- |
| 1 | 0.084 |
| 2 | 0.003 |
| 3 | -0.083 |
| 4 | 0.175 |